This record from Alexandria describes FeRh at its PBEsol-relaxed geometry. The functional is meta-GGA SCAN.

**Magnetic moment**: 6.463 Bohr magnetons per cell
**DFT total energy**: -25.99 eV/atom
**Calculated volume**: 12.3 A^3/atom
**Energy of formation**: -41 meV per atom

```
data_FeRh
_chemical_formula_sum 'Fe2 Rh2'
_cell_length_a 2.647
_cell_length_b 2.647
_cell_length_c 7.040
_cell_angle_alpha 90.00
_cell_angle_beta 90.00
_cell_angle_gamma 90.00
_space_group_name_H-M_alt 'P 4/n m m'
_space_group_IT_number 129
loop_
_space_group_symop_operation_xyz
'x,y,z'
'-x,-y,-z'
'-y+1/2,x,z'
'y+1/2,-x,-z'
'-x+1/2,-y+1/2,z'
'x+1/2,y+1/2,-z'
'y,-x+1/2,z'
'-y,x+1/2,-z'
'x+1/2,-y,-z'
'-x+1/2,y,z'
'-y,-x,-z'
'y,x,z'
'-x,y+1/2,-z'
'x,-y+1/2,z'
'y+1/2,x+1/2,-z'
'-y+1/2,-x+1/2,z'
loop_
_atom_site_label
_atom_site_type_symbol
_atom_site_fract_x
_atom_site_fract_y
_atom_site_fract_z
Fe1 Fe 0.250 0.250 0.116
Rh1 Rh 0.250 0.250 0.637
```

This record from Alexandria describes FeRh at its PBEsol-relaxed geometry. The functional is meta-GGA SCAN.

**Magnetic moment**: 21.981 Bohr magnetons per cell
**DFT total energy**: -26.02 eV/atom
**Calculated volume**: 12.6 A^3/atom
**Energy of formation**: -69 meV per atom

```
data_FeRh
_chemical_formula_sum 'Fe6 Rh6'
_cell_length_a 2.788
_cell_length_b 4.237
_cell_length_c 12.807
_cell_angle_alpha 90.00
_cell_angle_beta 90.00
_cell_angle_gamma 90.00
_space_group_name_H-M_alt 'A m m 2'
_space_group_IT_number 38
loop_
_space_group_symop_operation_xyz
'x,y,z'
'-x,-y,z'
'-x,y,z'
'x,-y,z'
'x,y+1/2,z+1/2'
'-x,-y+1/2,z+1/2'
'-x,y+1/2,z+1/2'
'x,-y+1/2,z+1/2'
loop_
_atom_site_label
_atom_site_type_symbol
_atom_site_fract_x
_atom_site_fract_y
_atom_site_fract_z
Fe1 Fe 0.000 0.000 0.000
Fe2 Fe 0.000 0.000 0.340
Fe3 Fe 0.500 0.000 0.486
Rh1 Rh 0.000 0.000 0.643
Rh2 Rh 0.500 0.000 0.179
Rh3 Rh 0.500 0.000 0.831
```